A relaxed structure of Ba2DyMn2O6, computed with GGA+U.

## Properties
Raw total energy   -6.725 eV/atom
Size of the total moment   0.2727 μB/atom
Fermi-level density of states   0.284 states/eV per atom
Crystal system   trigonal

Unit cell a=6.731 b=6.731 c=6.731 alpha=53.47 beta=53.47 gamma=53.47
Fractional positions:
Ba: 0.218 0.218 0.218
Ba: 0.782 0.782 0.782
Dy: 0.000 0.000 0.000
Mn: 0.442 0.442 0.442
Mn: 0.558 0.558 0.558
O: 0.244 0.752 0.752
O: 0.248 0.248 0.756
O: 0.248 0.756 0.248
O: 0.752 0.244 0.752
O: 0.752 0.752 0.244
O: 0.756 0.248 0.248